# 1
The following is a DFT calculation (GGA-PBE) of crystalline LiFePb at its relaxed geometry.

Unit cell a=4.9720 b=4.9720 c=4.9720 alpha=143.42 beta=133.10 gamma=60.90
Site moments in Bohr magnetons follow the coordinates.
Element x y z (fractional)
Fe 0.9964 0.9964 0.0000  2.58
Li 0.3392 0.3392 0.0000  -0.02
Pb 0.6644 0.6644 0.0000  -0.06

As for the space-group type: Imm2, No. 44. The formation energy from the elements is 6.89 kcal/mol of atoms. The calculation puts the total magnetization at 2.509 μB/f.u. The value obtained for the density of states at the Fermi level is 3.608 states/eV/cell.

# 2
The following is a DFT calculation (GGA-PBE) of crystalline LiFe2PdPb at its relaxed geometry.

Unit cell a=4.2806 b=4.3851 c=4.2806 alpha=90.00 beta=90.00 gamma=90.00
Site moments in Bohr magnetons follow the coordinates.
Element x y z (fractional)
Fe 0.0000 0.0000 0.5000  2.97
Fe 0.5000 0.0000 0.0000  2.64
Pb 0.5000 0.5000 0.5000  -0.03
Pd 0.0000 0.5000 0.0000  0.10
Li 0.0000 0.0000 0.0000  -0.09

As for the space-group type: P4/mmm, No. 123. The formation energy from the elements is 15.20 kcal/mol of atoms. The calculation puts the total magnetization at 5.510 μB/f.u. The value obtained for the density of states at the Fermi level is 4.390 states/eV/cell. As for the energy above the most stable polymorph in this dataset: 0 meV/atom.

# 3
The following is a DFT calculation (GGA-PBE) of crystalline LiFe2PdPb at its relaxed geometry.

Unit cell a=4.9025 b=4.7219 c=4.9025 alpha=90.00 beta=90.00 gamma=90.00
Site moments in Bohr magnetons follow the coordinates.
Element x y z (fractional)
Li 0.0000 0.5000 0.0000  -0.01
Fe 0.5000 0.0000 0.0000  2.96
Fe 0.0000 0.0000 0.5000  3.06
Pd 0.5000 0.5000 0.5000  0.24
Pb 0.0000 0.0000 0.0000  -0.07

As for the space-group type: P4/mmm, No. 123. The formation energy from the elements is 29.24 kcal/mol of atoms. The calculation puts the total magnetization at 6.256 μB/f.u. The value obtained for the density of states at the Fermi level is 7.609 states/eV/cell. As for the energy above the most stable polymorph in this dataset: 609 meV/atom.

# 4
The following is a DFT calculation (GGA-PBE) of crystalline LiFe2PbS at its relaxed geometry.

Unit cell a=4.2212 b=5.7231 c=4.2212 alpha=90.00 beta=90.00 gamma=90.00
Site moments in Bohr magnetons follow the coordinates.
Element x y z (fractional)
S 0.0000 0.0000 0.0000  0.02
Fe 0.5000 0.0000 0.0000  2.72
Fe 0.0000 0.0000 0.5000  2.20
Li 0.5000 0.5000 0.5000  -0.02
Pb 0.0000 0.5000 0.0000  -0.03

As for the space-group type: P4/mmm, No. 123. The calculation puts the total magnetization at 4.731 μB/f.u. The calculation puts the energy relative to the elements, uncorrected at 282 meV per atom. The value obtained for the density of states at the Fermi level is 3.074 states/eV/cell.

# 5
The following is a DFT calculation (GGA-PBE) of crystalline LiFe2PbSe at its relaxed geometry.

Unit cell a=4.6059 b=4.3837 c=4.6059 alpha=90.00 beta=90.00 gamma=90.00
Site moments in Bohr magnetons follow the coordinates.
Element x y z (fractional)
Pb 0.5000 0.5000 0.5000  -0.08
Se 0.0000 0.5000 0.0000  0.05
Fe 0.5000 0.0000 0.0000  2.76
Fe 0.0000 0.0000 0.5000  2.90
Li 0.0000 0.0000 0.0000  -0.05

As for the space-group type: P4/mmm, No. 123. The calculation puts the total magnetization at 5.565 μB/f.u. The calculation puts the energy relative to the elements, uncorrected at 723 meV per atom. The value obtained for the density of states at the Fermi level is 5.923 states/eV/cell.

# 6
The following is a DFT calculation (GGA-PBE) of crystalline LiTaFePb2 at its relaxed geometry.

Unit cell a=5.4339 b=5.1923 c=5.4339 alpha=90.00 beta=90.00 gamma=90.00
Site moments in Bohr magnetons follow the coordinates.
Element x y z (fractional)
Fe 0.5000 0.5000 0.5000  3.31
Ta 0.0000 0.0000 0.0000  -0.04
Li 0.0000 0.5000 0.0000  -0.03
Pb 0.5000 0.0000 0.0000  0.00
Pb 0.0000 0.0000 0.5000  0.00

As for the space-group type: P4/mmm, No. 123. The formation energy from the elements is 32.99 kcal/mol of atoms. The calculation puts the total magnetization at 3.396 μB/f.u. The value obtained for the density of states at the Fermi level is 13.329 states/eV/cell.

# 7
The following is a DFT calculation (GGA-PBE) of crystalline LiZrFePb at its relaxed geometry.

Unit cell a=4.5734 b=4.5734 c=4.5734 alpha=60.00 beta=60.00 gamma=60.00
Site moments in Bohr magnetons follow the coordinates.
Element x y z (fractional)
Fe 0.2500 0.2500 0.2500  1.46
Zr 0.5000 0.5000 0.5000  -0.34
Pb 0.0000 0.0000 0.0000  0.01
Li 0.7500 0.7500 0.7500  -0.03

As for the space-group type: F-43m, No. 216. The formation energy from the elements is -1.54 kcal/mol of atoms. The calculation puts the total magnetization at 1.003 μB/f.u. The value obtained for the density of states at the Fermi level is 1.665 states/eV/cell.

# 8
The following is a DFT calculation (GGA-PBE) of crystalline Li2FePd5 at its relaxed geometry.

Unit cell a=5.3132 b=5.3142 c=5.3121 alpha=107.77 beta=107.76 gamma=112.94
Site moments in Bohr magnetons follow the coordinates.
Element x y z (fractional)
Li 0.2780 0.7796 0.5009  -0.01
Li 0.7771 0.2787 0.4991  -0.01
Pd 0.7653 0.2930 0.0000  0.16
Pd 0.2447 0.2426 0.0000  0.09
Pd 0.7635 0.7649 0.4710  0.16
Pd 0.2934 0.7630 0.0000  0.16
Pd 0.2925 0.2939 0.5290  0.16
Fe 0.8084 0.8072 0.0000  3.22

As for the space-group type: Cm, No. 8. The formation energy from the elements is -5.82 kcal/mol of atoms. The calculation puts the total magnetization at 3.824 μB/f.u. The value obtained for the density of states at the Fermi level is 4.042 states/eV/cell. As for the energy above the most stable polymorph in this dataset: 0 meV/atom.

# 9
The following is a DFT calculation (GGA-PBE) of crystalline LiFePd6 at its relaxed geometry.

Unit cell a=3.8650 b=5.5176 c=5.5176 alpha=90.02 beta=90.00 gamma=90.00
Site moments in Bohr magnetons follow the coordinates.
Element x y z (fractional)
Pd 0.0000 0.2472 0.7528  0.25
Pd 0.0000 0.7526 0.7526  0.25
Pd 0.5000 0.0000 0.5000  0.22
Pd 0.0000 0.7528 0.2472  0.25
Pd 0.5000 0.5000 0.0000  0.22
Pd 0.0000 0.2474 0.2474  0.25
Fe 0.5000 0.0000 0.0000  3.26
Li 0.5000 0.5000 0.5000  -0.01

As for the space-group type: P4/mmm, No. 123. The formation energy from the elements is -4.12 kcal/mol of atoms. The calculation puts the total magnetization at 4.585 μB/f.u. The value obtained for the density of states at the Fermi level is 9.063 states/eV/cell. As for the energy above the most stable polymorph in this dataset: 0 meV/atom.

# 10
The following is a DFT calculation (GGA-PBE) of crystalline Li3FePd4 at its relaxed geometry.

Unit cell a=3.0065 b=3.0065 c=12.0131 alpha=90.00 beta=90.00 gamma=90.00
Site moments in Bohr magnetons follow the coordinates.
Element x y z (fractional)
Pd 0.0000 0.0000 0.8728  0.25
Pd 0.0000 0.0000 0.1272  0.25
Pd 0.0000 0.0000 0.6232  0.01
Pd 0.0000 0.0000 0.3768  0.01
Li 0.5000 0.5000 0.2571  -0.01
Li 0.5000 0.5000 0.5000  -0.01
Li 0.5000 0.5000 0.7429  -0.01
Fe 0.5000 0.5000 0.0000  3.20

As for the space-group type: P4/mmm, No. 123. The formation energy from the elements is -7.57 kcal/mol of atoms. The calculation puts the total magnetization at 3.656 μB/f.u. The value obtained for the density of states at the Fermi level is 4.343 states/eV/cell.

# 11
The following is a DFT calculation (GGA-PBE) of crystalline LiFePd14 at its relaxed geometry.

Unit cell a=5.5566 b=5.5566 c=7.8031 alpha=90.00 beta=90.00 gamma=90.01
Site moments in Bohr magnetons follow the coordinates.
Element x y z (fractional)
Pd 0.6264 0.1236 0.2572  0.26
Pd 0.8750 0.8750 0.0000  0.26
Pd 0.6264 0.1236 0.7428  0.26
Pd 0.8750 0.3750 0.5000  0.27
Pd 0.6263 0.6263 0.2572  0.26
Pd 0.6263 0.6263 0.7428  0.26
Pd 0.1237 0.1237 0.7428  0.26
Pd 0.3750 0.3750 0.0000  0.14
Pd 0.1236 0.6264 0.7428  0.26
Pd 0.3750 0.8750 0.0000  0.21
Pd 0.1237 0.1237 0.2572  0.26
Pd 0.1236 0.6264 0.2572  0.26
Pd 0.3750 0.8750 0.5000  0.27
Pd 0.8750 0.3750 0.0000  0.21
Li 0.3750 0.3750 0.5000  -0.01
Fe 0.8750 0.8750 0.5000  3.33

As for the space-group type: P4/mmm, No. 123. The formation energy from the elements is -2.00 kcal/mol of atoms. The calculation puts the total magnetization at 6.726 μB/f.u. The value obtained for the density of states at the Fermi level is 24.938 states/eV/cell.

# 12
The following is a DFT calculation (GGA-PBE) of crystalline Li2FePd6 at its relaxed geometry.

Unit cell a=4.7414 b=7.6843 c=7.6843 alpha=72.00 beta=84.46 gamma=84.46
Site moments in Bohr magnetons follow the coordinates.
Element x y z (fractional)
Li 0.0853 0.2130 0.4547  0.00
Li 0.9147 0.7870 0.5453  0.00
Li 0.5853 0.4547 0.2130  0.00
Li 0.4147 0.5453 0.7870  0.00
Fe 0.7500 0.8742 0.1258  3.26
Fe 0.2500 0.1258 0.8742  3.26
Pd 0.9837 0.4260 0.6844  0.18
Pd 0.1898 0.9884 0.2307  0.24
Pd 0.1592 0.3549 0.0919  0.12
Pd 0.4837 0.6844 0.4260  0.18
Pd 0.3408 0.9081 0.6451  0.12
Pd 0.6898 0.2307 0.9884  0.24
Pd 0.8102 0.0116 0.7693  0.24
Pd 0.5163 0.3156 0.5740  0.18
Pd 0.0163 0.5740 0.3156  0.18
Pd 0.3102 0.7693 0.0116  0.24
Pd 0.8408 0.6451 0.9081  0.12
Pd 0.6592 0.0919 0.3549  0.12

As for the space-group type: C2/c, No. 15. The formation energy from the elements is -3.94 kcal/mol of atoms. The calculation puts the total magnetization at 4.334 μB/f.u. The value obtained for the density of states at the Fermi level is 12.959 states/eV/cell.